# 1
Material: As2IrRh
Method: DFT, meta-GGA SCAN
State: PBEsol geometry

Summary:
**Relative energy among the computed polymorphs**: 0.00 eV/f.u.
**Formation enthalpy at 0 K**: -307.8 meV per atom
**Size of the total moment**: 0.00 Bohr magnetons per cell
**Total energy**: -36.621 eV/atom
**ρ**: 12.19 g/cm3

abc: 3.4624 3.4624 5.0577
angles: 90.00 90.00 90.00
Closest atoms and distances in Å follow each position.
Space group P4mm (No. 99)
Asymmetric unit:
As: 0.0000 0.0000 0.0000 [1 per cell]  2 Ir 2.47-2.59, 4 Rh 2.55
As: 0.5000 0.5000 0.3684 [1 per cell]  2 Rh 2.49-2.57, 4 Ir 2.55
Ir: 0.0000 0.0000 0.5124 [1 per cell]  6 As 2.47-2.59
Rh: 0.5000 0.5000 0.8602 [1 per cell]  6 As 2.49-2.57



# 2
Material: AsIrRh
Method: DFT, meta-GGA SCAN
State: PBEsol geometry

Summary:
**Formation enthalpy at 0 K**: 48.8 meV per atom
**Size of the total moment**: 0.00 Bohr magnetons per cell
**Total energy**: -41.638 eV/atom
**ρ**: 14.41 g/cm3

abc: 2.8993 2.8993 10.1449
angles: 90.00 90.00 90.00
Closest atoms and distances in Å follow each position.
Space group I4mm (No. 107)
Asymmetric unit:
As: 0.0000 0.0000 0.0000 [2 per cell]  4 Rh 2.56, 4 Ir 2.57
Ir: 0.0000 0.0000 0.6530 [2 per cell]  4 As 2.57, 4 Rh 2.86
Rh: 0.0000 0.0000 0.3492 [2 per cell]  4 As 2.56, 4 Ir 2.86



# 3
Material: As2IrRh
Method: DFT, meta-GGA SCAN
State: PBEsol geometry

Summary:
**Relative energy among the computed polymorphs**: 1.87 eV/f.u.
**Formation enthalpy at 0 K**: 158.6 meV per atom
**Size of the total moment**: 0.00 Bohr magnetons per cell
**Total energy**: -36.154 eV/atom
**ρ**: 11.24 g/cm3

abc: 2.7963 4.8502 9.6929
angles: 90.00 90.00 90.00
Closest atoms and distances in Å follow each position.
Space group Cmm2 (No. 35)
Asymmetric unit:
As: 0.0000 0.0000 0.0000 [2 per cell]  2 Rh 2.47
As: 0.0000 0.5000 0.3353 [2 per cell]  2 Ir 2.51, 6 As 2.80
Ir: 0.0000 0.0000 0.5503 [2 per cell]  2 As 2.51, 2 Rh 2.71, 6 Ir 2.80
Rh: 0.0000 0.5000 0.7897 [2 per cell]  2 As 2.47, 2 Ir 2.71



# 4
Material: As2IrRh
Method: DFT, meta-GGA SCAN
State: PBEsol geometry

Summary:
**Relative energy among the computed polymorphs**: 0.82 eV/f.u.
**Formation enthalpy at 0 K**: -102.5 meV per atom
**Size of the total moment**: 0.00 Bohr magnetons per cell
**Total energy**: -36.415 eV/atom
**ρ**: 12.46 g/cm3

abc: 2.9711 2.9711 23.2713
angles: 90.00 90.00 120.00
Closest atoms and distances in Å follow each position.
Space group R-3m (No. 166, hexagonal axes)
Asymmetric unit:
As: 0.0000 0.0000 0.2490 [6 per cell]  3 Rh 2.57, 3 Ir 2.61
Ir: 0.0000 0.0000 0.0000 [3 per cell]  6 As 2.61
Rh: 0.0000 0.0000 0.5000 [3 per cell]  6 As 2.57



# 5
Material: AsIrRu2
Method: DFT, meta-GGA SCAN
State: PBEsol geometry

Summary:
**Formation enthalpy at 0 K**: 6.0 meV per atom
**Size of the total moment**: 0.00 Bohr magnetons per cell
**Total energy**: -40.230 eV/atom
**ρ**: 13.96 g/cm3

abc: 3.9043 2.7784 10.2884
angles: 90.00 90.00 90.00
Closest atoms and distances in Å follow each position.
Space group Amm2 (No. 38)
Asymmetric unit:
As: 0.0000 0.0000 0.0000 [2 per cell]  5 Ru 2.39-2.60, 2 Ir 2.47
Ir: 0.5000 0.0000 0.8532 [2 per cell]  2 As 2.47, 5 Ru 2.62-2.70
Ru: 0.0000 0.0000 0.2326 [2 per cell]  1 As 2.39
Ru: 0.5000 0.0000 0.5981 [2 per cell]  4 As 2.60, 3 Ir 2.62-2.88, 6 Ru 2.77-2.78



# 6
Material: As2IrRu
Method: DFT, meta-GGA SCAN
State: PBEsol geometry

Summary:
**Relative energy among the computed polymorphs**: 0.16 eV/f.u.
**Formation enthalpy at 0 K**: -71.8 meV per atom
**Size of the total moment**: 0.00 Bohr magnetons per cell
**Total energy**: -36.648 eV/atom
**ρ**: 11.73 g/cm3

abc: 8.0329 3.4077 4.7417
angles: 90.00 104.86 90.00
Closest atoms and distances in Å follow each position.
Space group Cm (No. 8)
Asymmetric unit:
As: 0.0000 0.0000 0.0000 [2 per cell]  3 Ru 2.34-2.40, 2 Ir 2.52
As: 0.2244 0.0000 0.5796 [2 per cell]  3 Ir 2.52-2.54, 2 Ru 2.58
Ir: 0.4883 0.0000 0.3853 [2 per cell]  5 As 2.52-2.54
Ru: 0.2065 0.5000 0.9803 [2 per cell]  5 As 2.34-2.58



# 7
Material: As2IrRu
Method: DFT, meta-GGA SCAN
State: PBEsol geometry

Summary:
**Relative energy among the computed polymorphs**: 0.00 eV/f.u.
**Formation enthalpy at 0 K**: -111.5 meV per atom
**Size of the total moment**: 0.00 Bohr magnetons per cell
**Total energy**: -36.688 eV/atom
**ρ**: 12.37 g/cm3

abc: 3.0091 3.8344 5.1537
angles: 90.00 90.00 90.00
Closest atoms and distances in Å follow each position.
Space group Pmm2 (No. 25)
Asymmetric unit:
As: 0.0000 0.0000 0.0000 [1 per cell]  2 Ir 2.52-2.64, 4 Ru 2.55
As: 0.5000 0.5000 0.3645 [1 per cell]  2 Ru 2.53-2.63, 4 Ir 2.55
Ir: 0.0000 0.0000 0.5119 [1 per cell]  6 As 2.52-2.64
Ru: 0.5000 0.5000 0.8549 [1 per cell]  6 As 2.53-2.63



# 8
Material: TcAsIr2Ru
Method: DFT, meta-GGA SCAN
State: PBEsol geometry

Summary:
**Formation enthalpy at 0 K**: 1793.7 meV per atom
**Size of the total moment**: 1.03 Bohr magnetons per cell
**Total energy**: -44.661 eV/atom
**ρ**: 11.23 g/cm3

abc: 4.6523 4.6523 4.4983
angles: 90.00 90.00 90.00
Closest atoms and distances in Å follow each position.
Space group P4/mmm (No. 123)
Asymmetric unit:
Tc: 0.0000 0.0000 0.0000 [1 per cell]  2 Ru 2.25, 4 Ir 2.33
As: 0.5000 0.5000 0.5000 [1 per cell]  8 Ir 3.24, 4 Ru 3.29
Ir: 0.0000 0.5000 0.0000 [2 per cell]  2 Tc 2.33
Ru: 0.0000 0.0000 0.5000 [1 per cell]  2 Tc 2.25



# 9
Material: SbAs2Ir
Method: DFT, meta-GGA SCAN
State: PBEsol geometry

Summary:
**E_form (uncorrected)**: 0.2323 eV/atom
**Relative energy among the computed polymorphs**: 1.30 eV/f.u.
**Size of the total moment**: 0.00 Bohr magnetons per cell
**Total energy**: -36.953 eV/atom
**ρ**: 10.10 g/cm3

abc: 3.2958 3.2958 7.0215
angles: 90.00 90.00 90.00
Closest atoms and distances in Å follow each position.
Space group P4mm (No. 99)
Asymmetric unit:
Sb: 0.0000 0.0000 0.0000 [1 per cell]  4 Ir 2.83, 1 As 3.01
As: 0.0000 0.0000 0.5719 [1 per cell]  4 As 2.71, 4 Ir 2.72, 1 Sb 3.01
As: 0.5000 0.5000 0.3760 [1 per cell]  4 As 2.71, 1 Ir 2.78
Ir: 0.5000 0.5000 0.7726 [1 per cell]  5 As 2.72-2.78, 4 Sb 2.83



# 10
Material: SbAs2Ir
Method: DFT, meta-GGA SCAN
State: PBEsol geometry

Summary:
**E_form (uncorrected)**: -0.0939 eV/atom
**Relative energy among the computed polymorphs**: 0.00 eV/f.u.
**Size of the total moment**: 0.00 Bohr magnetons per cell
**Total energy**: -37.279 eV/atom
**ρ**: 9.81 g/cm3

abc: 4.6195 3.7702 4.8656
angles: 90.00 112.14 90.00
Closest atoms and distances in Å follow each position.
Space group P2/m (No. 10)
Asymmetric unit:
Sb: 0.0000 0.0000 0.0000 [1 per cell]  2 Ir 2.65
As: 0.2700 0.5000 0.6841 [2 per cell]  1 As 2.46, 2 Ir 2.49
Ir: 0.5000 0.0000 0.5000 [1 per cell]  4 As 2.49, 2 Sb 2.65



# 11
Material: ZnSb2AsIr
Method: DFT, meta-GGA SCAN
State: PBEsol geometry

Summary:
**E_form (uncorrected)**: 0.3419 eV/atom
**Size of the total moment**: 0.00 Bohr magnetons per cell
**Total energy**: -35.523 eV/atom
**ρ**: 7.99 g/cm3

abc: 5.0613 5.0613 4.6752
angles: 90.00 90.00 90.00
Closest atoms and distances in Å follow each position.
Space group P4/mmm (No. 123)
Asymmetric unit:
Zn: 0.0000 0.0000 0.0000 [1 per cell]  2 Ir 2.34
Sb: 0.0000 0.5000 0.5000 [2 per cell]  2 Ir 2.53
As: 0.5000 0.5000 0.0000 [1 per cell]  8 Sb 3.45, 4 Zn 3.58
Ir: 0.0000 0.0000 0.5000 [1 per cell]  2 Zn 2.34, 4 Sb 2.53



# 12
Material: Sc2AsIr
Method: DFT, meta-GGA SCAN
State: PBEsol geometry

Summary:
**Relative energy among the computed polymorphs**: 0.13 eV/f.u.
**Formation enthalpy at 0 K**: -944.8 meV per atom
**Size of the total moment**: 0.00 Bohr magnetons per cell
**Total energy**: -30.886 eV/atom
**ρ**: 8.50 g/cm3

abc: 4.6346 4.6346 6.4939
angles: 90.00 90.00 90.00
Closest atoms and distances in Å follow each position.
Space group I4/mmm (No. 139)
Asymmetric unit:
Sc: 0.0000 0.5000 0.2500 [4 per cell]  4 As 2.83, 4 Ir 2.83
As: 0.0000 0.0000 0.0000 [2 per cell]  8 Sc 2.83
Ir: 0.0000 0.0000 0.5000 [2 per cell]  8 Sc 2.83